Entry 1:
Density functional theory data (PBE) for KMg2Hg after structural relaxation. Values from VASP.

Values from the calculation:
Energy of formation (eV/atom): -0.074
Energy (eV per atom): -1.221

Quantum ESPRESSO input file:
```
&SYSTEM
  ibrav = 0, nat = 32, ntyp = 3
/
ATOMIC_SPECIES
K 39.10 K.upf
Mg 24.30 Mg.upf
Hg 200.59 Hg.upf
CELL_PARAMETERS angstrom
17.8215 0.0000 0.0000
0.0000 8.3043 0.0000
0.0000 0.0000 6.6519
ATOMIC_POSITIONS angstrom
K 1.8371 2.0761 1.2841
K 2.2902 6.2282 0.1018
K 6.6205 2.0761 3.4278
K 7.0736 6.2282 4.6101
K 10.7479 2.0761 2.0418
K 11.2010 6.2282 3.2241
K 15.5313 2.0761 6.5501
K 15.9843 6.2282 5.3678
Mg 0.9077 0.5515 4.5000
Mg 0.9077 3.6006 4.5000
Mg 3.7791 4.6291 3.3833
Mg 3.7791 7.8274 3.3833
Mg 5.1316 0.4770 0.0573
Mg 5.1316 3.6752 0.0573
Mg 8.0030 4.7037 1.1740
Mg 8.0030 7.7528 1.1740
Mg 9.8184 0.5515 5.4779
Mg 9.8184 3.6006 5.4779
Mg 12.6898 4.6291 6.5946
Mg 12.6898 7.8274 6.5946
Mg 14.0424 0.4770 3.2686
Mg 14.0424 3.6752 3.2686
Mg 16.9138 4.7037 2.1520
Mg 16.9138 7.7528 2.1520
Hg 1.2507 6.2282 3.4039
Hg 3.4371 2.0761 4.8348
Hg 5.4736 6.2282 1.5089
Hg 7.6600 2.0761 0.0780
Hg 10.1615 6.2282 6.5739
Hg 12.3479 2.0761 5.1430
Hg 14.3844 6.2282 1.8171
Hg 16.5707 2.0761 3.2480
```


Entry 2:
Density functional theory data (PBE) for KMg2Hg after structural relaxation. Values from VASP.

Values from the calculation:
Energy of formation (eV/atom): 0.005
Energy (eV per atom): -1.142

Quantum ESPRESSO input file:
```
&SYSTEM
  ibrav = 0, nat = 4, ntyp = 3
/
ATOMIC_SPECIES
K 39.10 K.upf
Mg 24.30 Mg.upf
Hg 200.59 Hg.upf
CELL_PARAMETERS angstrom
3.6199 0.0000 0.0000
0.0000 3.7554 0.0000
0.0000 0.0000 8.9087
ATOMIC_POSITIONS angstrom
K 0.0000 0.0000 0.0000
Mg 1.8100 1.8777 2.8873
Mg 1.8100 1.8777 6.0214
Hg 0.0000 0.0000 4.4543
```


Entry 3:
Density functional theory data (PBE) for KMgHg after structural relaxation. Values from VASP.

Values from the calculation:
Excess energy over the best structure of this formula in the dataset (meV/atom): 74
Energy of formation (eV/atom): -0.103
Energy (eV per atom): -1.101

Quantum ESPRESSO input file:
```
&SYSTEM
  ibrav = 0, nat = 3, ntyp = 3
/
ATOMIC_SPECIES
K 39.10 K.upf
Mg 24.30 Mg.upf
Hg 200.59 Hg.upf
CELL_PARAMETERS angstrom
-1.9596 1.9596 6.3787
1.9596 -1.9596 6.3787
1.9596 1.9596 -6.3787
ATOMIC_POSITIONS angstrom
K 0.0000 0.0000 0.0000
Mg 0.0000 0.0000 3.5498
Hg 0.0000 0.0000 8.9662
```


Entry 4:
Density functional theory data (PBE) for KMg2Hg after structural relaxation. Values from VASP.

Values from the calculation:
Energy of formation (eV/atom): 0.160
Energy (eV per atom): -0.988

Quantum ESPRESSO input file:
```
&SYSTEM
  ibrav = 0, nat = 4, ntyp = 3
/
ATOMIC_SPECIES
K 39.10 K.upf
Mg 24.30 Mg.upf
Hg 200.59 Hg.upf
CELL_PARAMETERS angstrom
3.3521 -5.4439 0.0000
3.3521 5.4439 0.0000
0.0000 0.0000 3.3132
ATOMIC_POSITIONS angstrom
K 0.0000 0.0000 0.0000
Mg 1.6761 2.7219 1.6566
Mg 1.6761 -2.7219 1.6566
Hg 3.3521 0.0000 0.0000
```


Entry 5:
Density functional theory data (PBE) for K2MgHg2 after structural relaxation. Values from VASP.

Values from the calculation:
Excess energy over the best structure of this formula in the dataset (meV/atom): 257
Energy of formation (eV/atom): 0.079
Energy (eV per atom): -0.800

Quantum ESPRESSO input file:
```
&SYSTEM
  ibrav = 0, nat = 5, ntyp = 3
/
ATOMIC_SPECIES
K 39.10 K.upf
Mg 24.30 Mg.upf
Hg 200.59 Hg.upf
CELL_PARAMETERS angstrom
-2.6240 2.6240 7.2075
2.6240 -2.6240 7.2075
2.6240 2.6240 -7.2075
ATOMIC_POSITIONS angstrom
K 2.6240 0.0000 3.6037
K 0.0000 2.6240 3.6037
Mg 0.0000 0.0000 0.0000
Hg 0.0000 0.0000 5.7905
Hg 0.0000 0.0000 8.6244
```


Entry 6:
Density functional theory data (PBE) for K2MgHg6 after structural relaxation. Values from VASP.

Values from the calculation:
Energy of formation (eV/atom): -0.220
Energy (eV per atom): -0.842

Quantum ESPRESSO input file:
```
&SYSTEM
  ibrav = 0, nat = 9, ntyp = 3
/
ATOMIC_SPECIES
K 39.10 K.upf
Mg 24.30 Mg.upf
Hg 200.59 Hg.upf
CELL_PARAMETERS angstrom
6.0853 -3.5127 0.0000
6.0853 3.5127 0.0000
-0.0113 0.0000 6.1848
ATOMIC_POSITIONS angstrom
K 2.0314 0.0000 2.0361
K 10.1279 0.0000 4.1487
Mg 6.0796 0.0000 3.0924
Hg 4.9921 1.8963 1.1198
Hg 7.1672 1.8963 5.0650
Hg 3.8963 0.0000 5.0693
Hg 8.2629 0.0000 1.1155
Hg 4.9921 -1.8963 1.1198
Hg 7.1672 -1.8963 5.0650
```


Entry 7:
Density functional theory data (PBE) for KMgHg11 after structural relaxation. Values from VASP.

Values from the calculation:
Energy of formation (eV/atom): -0.092
Energy (eV per atom): -0.554

Quantum ESPRESSO input file:
```
&SYSTEM
  ibrav = 0, nat = 13, ntyp = 3
/
ATOMIC_SPECIES
K 39.10 K.upf
Mg 24.30 Mg.upf
Hg 200.59 Hg.upf
CELL_PARAMETERS angstrom
3.0717 -7.7033 0.0000
3.0717 7.7033 0.0000
-2.4129 0.0000 7.6514
ATOMIC_POSITIONS angstrom
K 0.0000 0.0000 0.0000
Mg 1.8653 0.0000 3.8257
Hg -1.2064 0.0000 3.8257
Hg 1.5359 3.8516 0.0000
Hg 0.2871 2.6705 2.7845
Hg 0.5953 1.5967 6.0317
Hg 0.2871 -2.6705 2.7845
Hg 3.1353 1.5967 1.6197
Hg 1.5359 -3.8516 0.0000
Hg 0.5953 -1.5967 6.0317
Hg 3.4435 2.6705 4.8669
Hg 3.1353 -1.5967 1.6197
Hg 3.4435 -2.6705 4.8669
```


Entry 8:
Density functional theory data (PBE) for KMgHg2 after structural relaxation. Values from VASP.

Values from the calculation:
Energy of formation (eV/atom): -0.141
Energy (eV per atom): -0.965

Quantum ESPRESSO input file:
```
&SYSTEM
  ibrav = 0, nat = 4, ntyp = 3
/
ATOMIC_SPECIES
K 39.10 K.upf
Mg 24.30 Mg.upf
Hg 200.59 Hg.upf
CELL_PARAMETERS angstrom
3.6186 0.0000 0.0000
0.0000 4.6336 0.0000
-1.7474 0.0000 7.4159
ATOMIC_POSITIONS angstrom
K 0.0000 0.0000 0.0000
Mg 1.8791 2.3168 3.0038
Hg 0.0737 0.0000 3.4071
Hg 0.0658 2.3168 5.5049
```


Entry 9:
Density functional theory data (PBE) for KMg3Hg after structural relaxation. Values from VASP.

Values from the calculation:
Excess energy over the best structure of this formula in the dataset (meV/atom): 754
Energy of formation (eV/atom): 0.810
Energy (eV per atom): -0.427

Quantum ESPRESSO input file:
```
&SYSTEM
  ibrav = 0, nat = 5, ntyp = 3
/
ATOMIC_SPECIES
K 39.10 K.upf
Mg 24.30 Mg.upf
Hg 200.59 Hg.upf
CELL_PARAMETERS angstrom
6.8088 0.0000 0.0000
0.0000 6.8088 0.0000
0.0000 0.0000 6.8088
ATOMIC_POSITIONS angstrom
K 0.0000 0.0000 0.0000
Mg 0.0000 0.0000 3.4044
Mg 0.0000 3.4044 0.0000
Mg 3.4044 0.0000 0.0000
Hg 3.4044 3.4044 3.4044
```


Entry 10:
Density functional theory data (PBE) for KMg2Hg after structural relaxation. Values from VASP.

Values from the calculation:
Energy of formation (eV/atom): 0.038
Energy (eV per atom): -1.109

Quantum ESPRESSO input file:
```
&SYSTEM
  ibrav = 0, nat = 4, ntyp = 3
/
ATOMIC_SPECIES
K 39.10 K.upf
Mg 24.30 Mg.upf
Hg 200.59 Hg.upf
CELL_PARAMETERS angstrom
3.4646 0.0000 0.0000
0.0000 4.9874 0.0000
-1.4700 0.0000 6.9292
ATOMIC_POSITIONS angstrom
K 0.0000 0.0000 0.0000
Mg 0.1291 2.4937 4.7872
Mg 1.8655 2.4937 2.1420
Hg 0.9973 0.0000 3.4646
```


Entry 11:
Density functional theory data (PBE) for K2MgHg2 after structural relaxation. Values from VASP.

Values from the calculation:
Excess energy over the best structure of this formula in the dataset (meV/atom): 28
Energy of formation (eV/atom): -0.150
Energy (eV per atom): -1.029

Quantum ESPRESSO input file:
```
&SYSTEM
  ibrav = 0, nat = 10, ntyp = 3
/
ATOMIC_SPECIES
K 39.10 K.upf
Mg 24.30 Mg.upf
Hg 200.59 Hg.upf
CELL_PARAMETERS angstrom
7.8803 0.0000 0.0000
0.0000 7.8803 0.0000
0.0000 0.0000 5.5994
ATOMIC_POSITIONS angstrom
K 1.3689 2.5713 0.0000
K 2.5713 6.5114 0.0000
K 5.3090 1.3689 0.0000
K 6.5114 5.3090 0.0000
Mg 0.0000 0.0000 2.7997
Mg 3.9402 3.9402 2.7997
Hg 1.0957 5.0359 2.7997
Hg 2.8445 1.0957 2.7997
Hg 5.0359 6.7846 2.7997
Hg 6.7846 2.8445 2.7997
```


Entry 12:
Density functional theory data (PBE) for KMg2Hg after structural relaxation. Values from VASP.

Values from the calculation:
Energy of formation (eV/atom): 0.010
Energy (eV per atom): -1.137

Quantum ESPRESSO input file:
```
&SYSTEM
  ibrav = 0, nat = 4, ntyp = 3
/
ATOMIC_SPECIES
K 39.10 K.upf
Mg 24.30 Mg.upf
Hg 200.59 Hg.upf
CELL_PARAMETERS angstrom
5.0922 -1.7903 0.0000
5.0922 1.7903 0.0000
-1.2215 0.0000 6.9311
ATOMIC_POSITIONS angstrom
K 0.0000 0.0000 0.0000
Mg 1.4682 0.0000 4.4762
Mg 4.3479 0.0000 3.2991
Hg 7.2946 0.0000 2.2488
```


Question: Look up the energy of the first one.
Answer: -1.221 eV per atom


Repeat the fourth record exactly.
Density functional theory data (PBE) for KMg2Hg after structural relaxation. Values from VASP.

Values from the calculation:
Energy of formation (eV/atom): 0.160
Energy (eV per atom): -0.988

Quantum ESPRESSO input file:
```
&SYSTEM
  ibrav = 0, nat = 4, ntyp = 3
/
ATOMIC_SPECIES
K 39.10 K.upf
Mg 24.30 Mg.upf
Hg 200.59 Hg.upf
CELL_PARAMETERS angstrom
3.3521 -5.4439 0.0000
3.3521 5.4439 0.0000
0.0000 0.0000 3.3132
ATOMIC_POSITIONS angstrom
K 0.0000 0.0000 0.0000
Mg 1.6761 2.7219 1.6566
Mg 1.6761 -2.7219 1.6566
Hg 3.3521 0.0000 0.0000
```


Question: energy of formation of number 5 (K2MgHg2)?
Answer: 0.079 eV/atom


Question: Which formula does entry 8 have?
Answer: KMgHg2